[1]
Density functional theory data (PBE) for crystalline Li5Si2P4 at its relaxed geometry. Values from VASP.

Quantum ESPRESSO input file:
```
&SYSTEM
  ibrav = 0, nat = 11, ntyp = 3
/
ATOMIC_SPECIES
P 30.97 P.upf
Li 6.94 Li.upf
Si 28.09 Si.upf
CELL_PARAMETERS angstrom
3.322 0.000 -0.949
0.287 8.019 1.005
0.237 1.605 7.119
ATOMIC_POSITIONS crystal
P 0.369 0.298 0.738
P 0.884 0.795 0.768
P 0.116 0.205 0.232
P 0.631 0.702 0.262
Li 0.797 0.136 0.594
Li 0.817 0.540 0.635
Li 0.203 0.864 0.406
Li 0.183 0.460 0.365
Li 0.500 0.000 0.000
Si 0.516 0.344 0.032
Si 0.484 0.656 0.968
```

Properties
E_form (uncorrected) (meV per atom): -480
Uncorrected energy (eV per atom): -4.303
Magnetization (μB per cell): 0.0

---

[2]
Density functional theory data (PBE) for crystalline Li2SiP at its relaxed geometry. Values from VASP.

Quantum ESPRESSO input file:
```
&SYSTEM
  ibrav = 0, nat = 4, ntyp = 3
/
ATOMIC_SPECIES
Li 6.94 Li.upf
Si 28.09 Si.upf
P 30.97 P.upf
CELL_PARAMETERS angstrom
-2.390 -1.140 -3.035
1.731 -1.769 -0.698
-0.563 -5.316 2.440
ATOMIC_POSITIONS crystal
Li 0.000 0.505 0.497
Li 0.000 0.995 0.003
Si 0.500 0.750 0.750
P 0.500 0.250 0.250
```

Properties
E_form (uncorrected) (meV per atom): -271
Uncorrected energy (eV per atom): -3.937
Magnetization (μB per cell): 0.0

---

[3]
Density functional theory data (PBE) for crystalline Li4SiP4 at its relaxed geometry. Values from VASP.

Quantum ESPRESSO input file:
```
&SYSTEM
  ibrav = 0, nat = 18, ntyp = 3
/
ATOMIC_SPECIES
P 30.97 P.upf
Si 28.09 Si.upf
Li 6.94 Li.upf
CELL_PARAMETERS angstrom
8.804 -0.002 -0.022
0.410 6.948 -0.009
0.548 1.653 5.153
ATOMIC_POSITIONS crystal
P 0.210 0.044 0.304
P 0.547 0.520 0.176
P 0.692 0.923 0.342
P 0.308 0.077 0.658
P 0.790 0.956 0.696
P 0.022 0.479 0.804
P 0.978 0.521 0.196
P 0.453 0.480 0.824
Si 0.763 0.710 0.093
Si 0.237 0.290 0.907
Li 0.416 0.753 0.395
Li 0.004 0.199 0.580
Li 0.199 0.724 0.896
Li 0.584 0.247 0.605
Li 0.801 0.276 0.104
Li 0.996 0.801 0.420
Li 0.522 0.835 0.791
Li 0.478 0.165 0.209
```

Properties
E_form (uncorrected) (meV per atom): -432
Uncorrected energy (eV per atom): -4.289
Magnetization (μB per cell): 0.0

---

[4]
Density functional theory data (PBE) for crystalline LiSiP2 at its relaxed geometry. Values from VASP.

Quantum ESPRESSO input file:
```
&SYSTEM
  ibrav = 0, nat = 4, ntyp = 3
/
ATOMIC_SPECIES
P 30.97 P.upf
Li 6.94 Li.upf
Si 28.09 Si.upf
CELL_PARAMETERS angstrom
-1.948 -2.822 -0.163
1.931 -1.277 -0.971
2.053 -1.789 6.443
ATOMIC_POSITIONS crystal
P 0.000 0.250 0.002
P 0.000 0.250 0.498
Li 0.500 0.750 0.750
Si 0.500 0.250 0.250
```

Properties
E_form (uncorrected) (meV per atom): -108
Uncorrected energy (eV per atom): -4.647
Magnetization (μB per cell): 0.0

---

[5]
Density functional theory data (PBE) for crystalline Li2SiP at its relaxed geometry. Values from VASP.

Quantum ESPRESSO input file:
```
&SYSTEM
  ibrav = 0, nat = 4, ntyp = 3
/
ATOMIC_SPECIES
Li 6.94 Li.upf
Si 28.09 Si.upf
P 30.97 P.upf
CELL_PARAMETERS angstrom
4.849 -0.021 0.011
-2.876 5.129 -0.073
0.001 1.294 2.191
ATOMIC_POSITIONS crystal
Li 0.000 0.000 0.000
Li 0.000 0.500 0.500
Si 0.500 0.000 0.500
P 0.500 0.500 0.000
```

Properties
E_form (uncorrected) (meV per atom): -268
Uncorrected energy (eV per atom): -3.933
Magnetization (μB per cell): 0.0

---

[6]
Density functional theory data (PBE) for crystalline LiSi4P at its relaxed geometry. Values from VASP.

Quantum ESPRESSO input file:
```
&SYSTEM
  ibrav = 0, nat = 6, ntyp = 3
/
ATOMIC_SPECIES
Si 28.09 Si.upf
P 30.97 P.upf
Li 6.94 Li.upf
CELL_PARAMETERS angstrom
-3.677 -0.003 3.484
-0.354 3.815 3.312
-3.820 3.308 -0.346
ATOMIC_POSITIONS crystal
Si 0.873 0.376 0.376
Si 0.376 0.376 0.376
Si 0.376 0.376 0.873
Si 0.376 0.873 0.376
P 0.000 0.000 0.000
Li 0.750 0.750 0.750
```

Properties
E_form (uncorrected) (meV per atom): 389
Uncorrected energy (eV per atom): -4.447
Magnetization (μB per cell): 0.0

---

[7]
Density functional theory data (PBE) for crystalline Li2SiTcP at its relaxed geometry. Values from VASP.

Quantum ESPRESSO input file:
```
&SYSTEM
  ibrav = 0, nat = 5, ntyp = 4
/
ATOMIC_SPECIES
P 30.97 P.upf
Li 6.94 Li.upf
Tc 98.00 Tc.upf
Si 28.09 Si.upf
CELL_PARAMETERS angstrom
-1.863 3.460 -2.501
-0.173 -2.708 -3.619
-4.266 -1.395 1.248
ATOMIC_POSITIONS crystal
P 0.500 0.500 0.500
Li 0.000 0.000 0.500
Li 0.500 0.000 0.000
Tc 0.000 0.000 0.000
Si 0.000 0.500 0.000
```

Properties
E_form (uncorrected) (meV per atom): 1037
Uncorrected energy (eV per atom): -3.969
Magnetization (μB per cell): 0.3

---

[8]
Density functional theory data (PBE) for crystalline LiTlSiP2 at its relaxed geometry. Values from VASP.

Quantum ESPRESSO input file:
```
&SYSTEM
  ibrav = 0, nat = 5, ntyp = 4
/
ATOMIC_SPECIES
P 30.97 P.upf
Li 6.94 Li.upf
Tl 204.38 Tl.upf
Si 28.09 Si.upf
CELL_PARAMETERS angstrom
4.638 0.000 0.000
0.000 5.316 0.000
0.000 0.000 4.638
ATOMIC_POSITIONS crystal
P 0.000 0.000 0.500
P 0.500 0.000 0.000
Li 0.500 0.500 0.500
Tl 0.000 0.500 0.000
Si 0.000 0.000 0.000
```

Properties
E_form (uncorrected) (meV per atom): 430
Uncorrected energy (eV per atom): -3.674
Magnetization (μB per cell): 0.0